# 1
## La2MgZn4Cu3 (GGA-PBE)

Data for a relaxed structure of La2MgZn4Cu3.

Calculated values
volume = 196 Å³/cell
crystal system = tetragonal
E_form = -0.239 eV per atom

Unit cell a=4.126 b=4.126 c=11.509 alpha=90.00 beta=90.00 gamma=90.00
Atoms (fractional coordinates):
La 0.500 0.000 0.234
La 0.000 0.500 0.766
Mg 0.500 0.500 0.500
Zn 0.500 0.500 0.000
Zn 0.000 0.000 0.000
Zn 0.500 0.000 0.648
Zn 0.000 0.500 0.352
Cu 0.000 0.000 0.500
Cu 0.500 0.000 0.869
Cu 0.000 0.500 0.131



# 2
## ErCdHg2 (GGA-PBE)

Data for a relaxed structure of ErCdHg2.

Calculated values
volume = 93 Å³/cell
crystal system = cubic
E_form = -0.344 eV per atom

Unit cell a=5.078 b=5.078 c=5.078 alpha=60.00 beta=60.00 gamma=60.00
Atoms (fractional coordinates):
Cd 0.250 0.250 0.250
Hg 0.000 0.000 0.000
Hg 0.500 0.500 0.500
Er 0.750 0.750 0.750



# 3
## FeCo4Sb (GGA-PBE)

Data for a relaxed structure of FeCo4Sb.

Calculated values
volume = 78 Å³/cell
crystal system = cubic
uncorrected formation energy = 0.20 eV per atom

Unit cell a=4.800 b=4.800 c=4.800 alpha=60.00 beta=60.00 gamma=60.00
Atoms (fractional coordinates):
Fe 0.250 0.250 0.250
Co 0.625 0.625 0.126
Co 0.625 0.126 0.625
Co 0.625 0.625 0.625
Co 0.126 0.625 0.625
Sb 0.000 0.000 0.000